(1)
A relaxed ZnCuPt2 crystal, computed with GGA-PBEsol.

Cell lengths 2.7192, 2.7192, 25.8562 Å; angles 90.00, 90.00, 120.00 degrees
Last column: nearest neighbours and their distance in Å.
Element x y z (fractional)
Zn  0.0000  0.0000  0.0000  3 Cu 2.54, 3 Pt 2.63, 6 Zn 2.72
Zn  0.3333  0.6667  0.6667  3 Cu 2.54, 3 Pt 2.63, 6 Zn 2.72
Zn  0.6667  0.3333  0.3333  3 Cu 2.54, 3 Pt 2.63, 6 Zn 2.72
Cu  0.0000  0.0000  0.2560  3 Zn 2.54, 3 Pt 2.63, 6 Cu 2.72
Cu  0.3333  0.6667  0.9227  3 Zn 2.54, 3 Pt 2.63, 6 Cu 2.72
Cu  0.6667  0.3333  0.5893  3 Zn 2.54, 3 Pt 2.63, 6 Cu 2.72
Pt  0.0000  0.0000  0.5076  3 Cu 2.63, 9 Pt 2.72-2.87
Pt  0.0000  0.0000  0.7482  3 Zn 2.63, 9 Pt 2.72-2.87
Pt  0.3333  0.6667  0.1743  3 Cu 2.63, 9 Pt 2.72-2.87
Pt  0.3333  0.6667  0.4148  3 Zn 2.63, 9 Pt 2.72-2.87
Pt  0.6667  0.3333  0.0815  3 Zn 2.63, 9 Pt 2.72-2.87
Pt  0.6667  0.3333  0.8409  3 Cu 2.63, 9 Pt 2.72-2.87

## Properties
Crystal system: trigonal
Calculated formation energy, eV/atom: -0.17
Symmetry: R3m (160)

(2)
A relaxed TlIn2Re crystal, computed with GGA-PBEsol.

Cell lengths 3.6610, 4.7831, 9.1665 Å; angles 90.00, 90.00, 90.00 degrees
Last column: nearest neighbours and their distance in Å.
Element x y z (fractional)
Tl  0.0000  0.0000  0.0000  4 Re 3.01, 8 In 3.04-3.22
Tl  0.5000  0.5000  0.5000  4 Re 3.01, 8 In 3.04-3.22
In  0.0000  0.5000  0.2351  2 Re 2.83, 4 In 3.02, 2 Tl 3.04
In  0.0000  0.5000  0.7649  2 Re 2.83, 4 In 3.02, 2 Tl 3.04
In  0.5000  0.0000  0.2649  2 Re 2.83, 4 In 3.02, 2 Tl 3.04
In  0.5000  0.0000  0.7351  2 Re 2.83, 4 In 3.02, 2 Tl 3.04
Re  0.0000  0.0000  0.5000  4 In 2.83, 4 Tl 3.01
Re  0.5000  0.5000  0.0000  4 In 2.83, 4 Tl 3.01

## Properties
Crystal system: orthorhombic
Calculated formation energy, eV/atom: 0.70
Symmetry: Immm (71)
Energy relative to the lowest polymorph listed for this composition, eV/atom: 0.012

(3)
A relaxed AlFe2IrPt crystal, computed with GGA-PBEsol.

Cell lengths 4.5329, 4.5329, 4.5185 Å; angles 90.00, 90.00, 90.00 degrees
Last column: nearest neighbours and their distance in Å.
Element x y z (fractional)
Al  0.0000  0.0000  0.0000  2 Ir 2.26
Fe  0.0000  0.5000  0.5000  2 Ir 2.27
Fe  0.5000  0.0000  0.5000  2 Ir 2.27
Ir  0.0000  0.0000  0.5000  2 Al 2.26, 4 Fe 2.27
Pt  0.5000  0.5000  0.0000  8 Fe 3.20, 4 Al 3.21

## Properties
Crystal system: tetragonal
Calculated formation energy, eV/atom: 1.07
Symmetry: P4/mmm (123)

(4)
A relaxed Ni2RhAu crystal, computed with GGA-PBEsol.

Cell lengths 2.6863, 2.6863, 7.1731 Å; angles 90.00, 90.00, 90.00 degrees
Last column: nearest neighbours and their distance in Å.
Element x y z (fractional)
Ni  0.0000  0.0000  0.2354  4 Rh 2.54, 4 Au 2.69, 4 Ni 2.69
Ni  0.0000  0.0000  0.7646  4 Rh 2.54, 4 Au 2.69, 4 Ni 2.69
Rh  0.5000  0.5000  0.0000  8 Ni 2.54, 4 Rh 2.69
Au  0.5000  0.5000  0.5000  8 Ni 2.69, 4 Au 2.69

## Properties
Crystal system: tetragonal
Calculated formation energy, eV/atom: 0.08
Symmetry: P4/mmm (123)

(5)
A relaxed MnTePb2 crystal, computed with GGA-PBEsol.

Cell lengths 5.0365, 3.9865, 5.7297 Å; angles 90.00, 106.58, 90.00 degrees
Last column: nearest neighbours and their distance in Å.
Element x y z (fractional)
Mn  0.0000  0.0000  0.0000  2 Te 2.52, 4 Pb 2.75
Te  0.5000  0.0000  0.0000  2 Mn 2.52
Pb  0.2052  0.5000  0.3320  2 Mn 2.75, 1 Pb 3.04
Pb  0.7948  0.5000  0.6680  2 Mn 2.75, 1 Pb 3.04

## Properties
Crystal system: monoclinic
Formation energy from raw total energies, eV per formula unit: 1.1
Symmetry: P2/m (10)

(6)
A relaxed LiInHg2 crystal, computed with GGA-PBEsol.

Cell lengths 3.2529, 3.2529, 28.2817 Å; angles 90.00, 90.00, 120.00 degrees
Last column: nearest neighbours and their distance in Å.
Element x y z (fractional)
Li  0.0000  0.0000  0.0000  6 Hg 2.82
Li  0.3333  0.6667  0.6667  6 Hg 2.82
Li  0.6667  0.3333  0.3333  6 Hg 2.82
In  0.0000  0.0000  0.5000  6 Hg 3.21, 6 In 3.25
In  0.3333  0.6667  0.1667  6 Hg 3.21, 6 In 3.25
In  0.6667  0.3333  0.8333  6 Hg 3.21, 6 In 3.25
Hg  0.0000  0.0000  0.2588  3 Li 2.82
Hg  0.0000  0.0000  0.7412  3 Li 2.82
Hg  0.3333  0.6667  0.4078  3 Li 2.82
Hg  0.3333  0.6667  0.9255  3 Li 2.82
Hg  0.6667  0.3333  0.0745  3 Li 2.82
Hg  0.6667  0.3333  0.5922  3 Li 2.82

## Properties
Crystal system: trigonal
Calculated formation energy, eV/atom: -0.19
Symmetry: R-3m (166)